Density functional theory data (PBE) for crystalline TaTi3H at its relaxed geometry.

Unit cell a=4.144 b=4.144 c=4.144 alpha=90.00 beta=90.00 gamma=90.00
Positions (direct):
H 0.000 0.000 0.000
Ti 0.000 0.500 0.000
Ti 0.000 0.000 0.500
Ti 0.500 0.000 0.000
Ta 0.500 0.500 0.500

E above lowest polymorph: 0.023 eV per atom
Density of states at the Fermi level: 7.55 states/eV/cell